! KZnIr GGA-PBEsol optimized geometry; values from VASP
&SYSTEM
  ibrav = 0, nat = 3, ntyp = 3
/
ATOMIC_SPECIES
K 39.10 K.upf
Zn 65.41 Zn.upf
Ir 192.22 Ir.upf
CELL_PARAMETERS angstrom
2.828 0.000 0.000
-1.414 2.449 0.000
0.000 0.000 7.711
ATOMIC_POSITIONS crystal
K 0.000 0.000 0.000
Zn 0.333 0.667 0.614
Ir 0.667 0.333 0.348
! - Formation energy from the elements: 0.5083 eV/atom
! - Electronic total energy: -3.671 eV per atom

---

! AgTe2 GGA-PBEsol optimized geometry; values from VASP
&SYSTEM
  ibrav = 0, nat = 6, ntyp = 2
/
ATOMIC_SPECIES
Ag 107.87 Ag.upf
Te 127.60 Te.upf
CELL_PARAMETERS angstrom
5.654 0.000 0.000
0.000 7.023 0.000
0.000 0.000 4.198
ATOMIC_POSITIONS crystal
Ag 0.000 0.000 0.000
Ag 0.500 0.500 0.500
Te 0.190 0.380 0.000
Te 0.310 0.880 0.500
Te 0.690 0.120 0.500
Te 0.810 0.620 0.000
! - Energy relative to the elements, uncorrected: 4 meV per atom
! - Electronic total energy: -3.450 eV per atom

---

! Hf2ScAs2 GGA-PBEsol optimized geometry; values from VASP
&SYSTEM
  ibrav = 0, nat = 10, ntyp = 3
/
ATOMIC_SPECIES
Hf 178.49 Hf.upf
Sc 44.96 Sc.upf
As 74.92 As.upf
CELL_PARAMETERS angstrom
7.187 0.000 0.000
0.000 7.187 0.000
0.000 0.000 3.555
ATOMIC_POSITIONS crystal
Hf 0.155 0.345 0.000
Hf 0.345 0.845 0.000
Hf 0.655 0.155 0.000
Hf 0.845 0.655 0.000
Sc 0.000 0.000 0.500
Sc 0.500 0.500 0.500
As 0.144 0.644 0.500
As 0.356 0.144 0.500
As 0.644 0.856 0.500
As 0.856 0.356 0.500
! - Formation energy from the elements: -1.0009 eV/atom
! - Electronic total energy: -8.566 eV per atom

---

! GdSClO4 GGA-PBEsol optimized geometry; values from VASP
&SYSTEM
  ibrav = 0, nat = 28, ntyp = 4
/
ATOMIC_SPECIES
Gd 157.25 Gd.upf
S 32.06 S.upf
Cl 35.45 Cl.upf
O 16.00 O.upf
CELL_PARAMETERS angstrom
9.395 0.000 0.000
0.000 6.533 0.000
-1.729 0.000 6.561
ATOMIC_POSITIONS crystal
Gd 0.235 0.100 0.175
Gd 0.235 0.400 0.675
Gd 0.765 0.600 0.325
Gd 0.765 0.900 0.825
S 0.357 0.560 0.210
S 0.357 0.940 0.710
S 0.643 0.060 0.290
S 0.643 0.440 0.790
Cl 0.029 0.139 0.810
Cl 0.029 0.361 0.310
Cl 0.971 0.639 0.690
Cl 0.971 0.861 0.190
O 0.277 0.071 0.532
O 0.277 0.429 0.032
O 0.281 0.743 0.699
O 0.281 0.757 0.199
O 0.344 0.061 0.890
O 0.344 0.439 0.390
O 0.491 0.089 0.296
O 0.491 0.411 0.796
O 0.509 0.589 0.204
O 0.509 0.911 0.704
O 0.656 0.561 0.610
O 0.656 0.939 0.110
O 0.719 0.243 0.801
O 0.719 0.257 0.301
O 0.723 0.571 0.968
O 0.723 0.929 0.468
! - Energy relative to the elements, uncorrected: -2192 meV per atom
! - Electronic total energy: -8.169 eV per atom

---

! Tl2BrF GGA-PBEsol optimized geometry; values from VASP
&SYSTEM
  ibrav = 0, nat = 8, ntyp = 3
/
ATOMIC_SPECIES
Tl 204.38 Tl.upf
Br 79.90 Br.upf
F 19.00 F.upf
CELL_PARAMETERS angstrom
-3.860 3.860 3.733
3.860 -3.860 3.733
3.860 3.860 -3.733
ATOMIC_POSITIONS crystal
Tl 0.057 0.125 0.432
Tl 0.375 0.943 0.068
Tl 0.693 0.625 0.568
Tl 0.875 0.307 0.932
Br 0.250 0.750 0.500
Br 0.500 0.500 0.000
F 0.000 0.000 0.000
F 0.750 0.250 0.500
! - Energy relative to the elements, uncorrected: -1156 meV per atom
! - Electronic total energy: -3.421 eV per atom

---

! KSn2 GGA-PBEsol optimized geometry; values from VASP
&SYSTEM
  ibrav = 0, nat = 12, ntyp = 2
/
ATOMIC_SPECIES
K 39.10 K.upf
Sn 118.71 Sn.upf
CELL_PARAMETERS angstrom
6.350 0.000 0.000
-3.175 5.500 0.000
0.000 0.000 10.417
ATOMIC_POSITIONS crystal
K 0.333 0.667 0.065
K 0.333 0.667 0.435
K 0.667 0.333 0.565
K 0.667 0.333 0.935
Sn 0.000 0.000 0.000
Sn 0.000 0.000 0.500
Sn 0.169 0.338 0.750
Sn 0.169 0.831 0.750
Sn 0.338 0.169 0.250
Sn 0.662 0.831 0.750
Sn 0.831 0.169 0.250
Sn 0.831 0.662 0.250
! - Formation energy from the elements: -0.2254 eV/atom
! - Electronic total energy: -3.443 eV per atom

---

! BaTeBr2 GGA-PBEsol optimized geometry; values from VASP
&SYSTEM
  ibrav = 0, nat = 4, ntyp = 3
/
ATOMIC_SPECIES
Ba 137.33 Ba.upf
Te 127.60 Te.upf
Br 79.90 Br.upf
CELL_PARAMETERS angstrom
3.740 0.000 0.000
0.000 3.740 0.000
0.000 0.000 10.417
ATOMIC_POSITIONS crystal
Ba 0.000 0.000 0.000
Te 0.000 0.000 0.500
Br 0.500 0.500 0.178
Br 0.500 0.500 0.822
! - Energy relative to the elements, uncorrected: -1086 meV per atom
! - Electronic total energy: -3.440 eV per atom

---

! MgTlIn2 GGA-PBEsol optimized geometry; values from VASP
&SYSTEM
  ibrav = 0, nat = 4, ntyp = 3
/
ATOMIC_SPECIES
Mg 24.30 Mg.upf
Tl 204.38 Tl.upf
In 114.82 In.upf
CELL_PARAMETERS angstrom
3.350 0.000 0.000
0.000 5.272 0.000
-0.002 0.000 5.672
ATOMIC_POSITIONS crystal
Mg 0.000 0.000 0.000
Tl 0.998 0.500 0.666
In 0.499 0.000 0.495
In 0.499 0.500 0.162
! - Formation energy from the elements: -0.0226 eV/atom
! - Electronic total energy: -2.601 eV per atom

---

! YTaP2 GGA-PBEsol optimized geometry; values from VASP
&SYSTEM
  ibrav = 0, nat = 4, ntyp = 3
/
ATOMIC_SPECIES
Y 88.91 Y.upf
Ta 180.95 Ta.upf
P 30.97 P.upf
CELL_PARAMETERS angstrom
-1.692 1.727 6.317
1.692 -1.727 6.317
1.692 1.727 -6.317
ATOMIC_POSITIONS crystal
Y 0.000 0.000 0.000
Ta 0.749 0.249 0.500
P 0.325 0.825 0.500
P 0.606 0.606 0.000
! - Formation energy from the elements: -0.9685 eV/atom
! - Electronic total energy: -8.708 eV per atom

---

! InSb2HF GGA-PBEsol optimized geometry; values from VASP
&SYSTEM
  ibrav = 0, nat = 5, ntyp = 4
/
ATOMIC_SPECIES
In 114.82 In.upf
Sb 121.76 Sb.upf
H 1.01 H.upf
F 19.00 F.upf
CELL_PARAMETERS angstrom
4.436 0.000 0.000
0.000 4.436 0.000
0.000 0.000 4.553
ATOMIC_POSITIONS crystal
In 0.000 0.000 0.000
Sb 0.000 0.500 0.500
Sb 0.500 0.000 0.500
H 0.500 0.500 0.500
F 0.500 0.500 0.000
! - Electronic total energy: -3.612 eV per atom

---

! TaTl2Pb GGA-PBEsol optimized geometry; values from VASP
&SYSTEM
  ibrav = 0, nat = 4, ntyp = 3
/
ATOMIC_SPECIES
Ta 180.95 Ta.upf
Tl 204.38 Tl.upf
Pb 207.20 Pb.upf
CELL_PARAMETERS angstrom
5.069 0.000 0.000
0.000 1.598 5.766
0.000 -1.598 5.766
ATOMIC_POSITIONS crystal
Ta 0.000 0.000 0.000
Tl 0.000 0.261 0.261
Tl 0.500 0.862 0.862
Pb 0.500 0.596 0.596
! - Formation energy from the elements: 0.4846 eV/atom
! - Electronic total energy: -4.968 eV per atom

---

! LaSiSb2 GGA-PBEsol optimized geometry; values from VASP
&SYSTEM
  ibrav = 0, nat = 4, ntyp = 3
/
ATOMIC_SPECIES
La 138.91 La.upf
Si 28.09 Si.upf
Sb 121.76 Sb.upf
CELL_PARAMETERS angstrom
-2.203 2.203 5.115
2.203 -2.203 5.115
2.203 2.203 -5.115
ATOMIC_POSITIONS crystal
La 0.000 0.000 0.000
Si 0.500 0.500 0.000
Sb 0.250 0.750 0.500
Sb 0.750 0.250 0.500
! - Energy relative to the elements, uncorrected: -409 meV per atom
! - Electronic total energy: -5.461 eV per atom